No. 1
Here is crystalline PmNbBi at its relaxed geometry from OQMD. Energies are from PBE-GGA.

Computed properties:
Excess energy over the best structure of this formula in the dataset, eV per formula unit: 1.47
ρ, kg/m³: 7523
Energy, eV/atom: -5.50

Cell lengths 5.186, 5.186, 5.186 Å; angles 60.00, 60.00, 60.00 degrees
Positions (direct):
Bi (0.250, 0.250, 0.250)
Nb (0.750, 0.750, 0.750)
Pm (0.000, 0.000, 0.000)


No. 2
Here is crystalline GdAgSeS at its relaxed geometry from OQMD. Energies are from PBE-GGA.

Computed properties:
ρ, kg/m³: 6522
Energy, eV/atom: -5.05

Cell lengths 4.258, 6.708, 6.709 Å; angles 90.00, 91.37, 90.00 degrees
Positions (direct):
Ag (0.999, 0.497, 0.250)
Ag (0.001, 0.997, 0.750)
Gd (0.785, 0.003, 0.235)
Gd (0.215, 0.503, 0.765)
S (0.265, 0.202, 0.049)
S (0.735, 0.702, 0.951)
Se (0.286, 0.798, 0.452)
Se (0.714, 0.298, 0.548)


No. 3
Here is crystalline LuGa2Ir2 at its relaxed geometry from OQMD. Energies are from PBE-GGA.

Computed properties:
ρ, kg/m³: 13137
Energy, eV/atom: -6.31

Cell lengths 5.803, 5.803, 5.803 Å; angles 137.44, 137.44, 61.76 degrees
Positions (direct):
Ga (0.378, 0.378, 0.000)
Ga (0.622, 0.622, 0.000)
Ir (0.750, 0.250, 0.500)
Ir (0.250, 0.750, 0.500)
Lu (0.000, 0.000, 0.000)


No. 4
Here is crystalline Tm3Mg3TlAu2 at its relaxed geometry from OQMD. Energies are from PBE-GGA.

Computed properties:
ρ, kg/m³: 9404
Energy, eV/atom: -3.51

Cell lengths 7.569, 7.569, 4.192 Å; angles 90.00, 90.00, 120.00 degrees
Positions (direct):
Au (0.667, 0.333, 0.500)
Au (0.333, 0.667, 0.500)
Mg (0.258, 0.000, 0.500)
Mg (0.000, 0.258, 0.500)
Mg (0.742, 0.742, 0.500)
Tl (0.000, 0.000, 0.000)
Tm (0.579, 0.000, 0.000)
Tm (0.421, 0.421, 0.000)
Tm (0.000, 0.579, 0.000)


No. 5
Here is crystalline NaHoSc at its relaxed geometry from OQMD. Energies are from PBE-GGA.

Computed properties:
Excess energy over the best structure of this formula in the dataset, eV per formula unit: 0.00
ρ, kg/m³: 4029
Energy, eV/atom: -3.16

Cell lengths 5.139, 5.139, 5.139 Å; angles 60.00, 60.00, 60.00 degrees
Positions (direct):
Ho (0.250, 0.250, 0.250)
Na (0.000, 0.000, 0.000)
Sc (0.750, 0.750, 0.750)


No. 6
Here is crystalline RbCuPtW at its relaxed geometry from OQMD. Energies are from PBE-GGA.

Computed properties:
Excess energy over the best structure of this formula in the dataset, eV per formula unit: 1.76
ρ, kg/m³: 11892
Energy, eV/atom: -4.19

Cell lengths 4.707, 4.707, 4.707 Å; angles 60.00, 60.00, 60.00 degrees
Positions (direct):
Cu (0.750, 0.750, 0.750)
Pt (0.500, 0.500, 0.500)
Rb (0.250, 0.250, 0.250)
W (0.000, 0.000, 0.000)


No. 7
Here is crystalline BeNbCo at its relaxed geometry from OQMD. Energies are from PBE-GGA.

Computed properties:
Excess energy over the best structure of this formula in the dataset, eV per formula unit: 0.00
ρ, kg/m³: 6323
Energy, eV/atom: -6.78

Cell lengths 3.909, 3.909, 3.909 Å; angles 60.00, 60.00, 60.00 degrees
Positions (direct):
Be (0.250, 0.250, 0.250)
Co (0.000, 0.000, 0.000)
Nb (0.750, 0.750, 0.750)


No. 8
Here is crystalline SmBPd at its relaxed geometry from OQMD. Energies are from PBE-GGA.

Computed properties:
Excess energy over the best structure of this formula in the dataset, eV per formula unit: 1.06
ρ, kg/m³: 7395
Energy, eV/atom: -5.21

Cell lengths 4.396, 4.396, 4.396 Å; angles 60.00, 60.00, 60.00 degrees
Site moments in Bohr magnetons follow the coordinates.
Positions (direct):
B (0.500, 0.500, 0.500)  0.14
Pd (0.250, 0.250, 0.250)  0.09
Sm (0.000, 0.000, 0.000)  0.11


No. 9
Here is crystalline GdDyHo2Al2 at its relaxed geometry from OQMD. Energies are from PBE-GGA.

Computed properties:
ρ, kg/m³: 7426
Energy, eV/atom: -4.59

Cell lengths 5.232, 5.232, 6.637 Å; angles 90.00, 90.00, 120.00 degrees
Positions (direct):
Al (0.000, 0.000, 0.000)
Al (0.333, 0.667, 0.500)
Dy (0.333, 0.667, 0.000)
Gd (0.000, 0.000, 0.500)
Ho (0.667, 0.333, 0.249)
Ho (0.667, 0.333, 0.751)


No. 10
Here is crystalline LuCoPtPb at its relaxed geometry from OQMD. Energies are from PBE-GGA.

Computed properties:
Excess energy over the best structure of this formula in the dataset, eV per formula unit: 0.00
ρ, kg/m³: 14351
Energy, eV/atom: -5.69

Cell lengths 4.704, 4.704, 4.704 Å; angles 60.00, 60.00, 60.00 degrees
Positions (direct):
Co (0.750, 0.750, 0.750)
Lu (0.500, 0.500, 0.500)
Pb (0.000, 0.000, 0.000)
Pt (0.250, 0.250, 0.250)


No. 11
Here is crystalline IrOF at its relaxed geometry from OQMD. Energies are from PBE-GGA.

Computed properties:
Excess energy over the best structure of this formula in the dataset, eV per formula unit: 0.73
ρ, kg/m³: 10676
Energy, eV/atom: -5.70

Cell lengths 7.861, 3.667, 4.904 Å; angles 90.00, 90.00, 90.00 degrees
Positions (direct):
F (0.253, 0.250, 0.146)
F (0.753, 0.250, 0.354)
F (0.247, 0.750, 0.646)
F (0.747, 0.750, 0.854)
Ir (0.504, 0.250, 0.209)
Ir (0.004, 0.250, 0.291)
Ir (0.996, 0.750, 0.709)
Ir (0.496, 0.750, 0.791)
O (0.023, 0.750, 0.168)
O (0.523, 0.750, 0.332)
O (0.477, 0.250, 0.668)
O (0.977, 0.250, 0.832)


No. 12
Here is crystalline GdCdHg2 at its relaxed geometry from OQMD. Energies are from PBE-GGA.

Computed properties:
Excess energy over the best structure of this formula in the dataset, eV per formula unit: 0.03
ρ, kg/m³: 11546
Energy, eV/atom: -1.90

Cell lengths 4.999, 6.718, 6.718 Å; angles 121.20, 90.00, 90.00 degrees
Positions (direct):
Cd (0.250, 0.837, 0.686)
Cd (0.750, 0.686, 0.837)
Gd (0.750, 0.662, 0.324)
Gd (0.250, 0.324, 0.662)
Hg (0.250, 0.826, 0.160)
Hg (0.250, 0.335, 0.170)
Hg (0.750, 0.170, 0.335)
Hg (0.750, 0.160, 0.826)


Q: What is the ρ in the twelfth record?
A: 11546 kg/m³


Q: Which value of ρ does entry 8 give?
A: 7395 kg/m³


Repeat the sixth record exactly.
Here is crystalline RbCuPtW at its relaxed geometry from OQMD. Energies are from PBE-GGA.

Computed properties:
Excess energy over the best structure of this formula in the dataset, eV per formula unit: 1.76
ρ, kg/m³: 11892
Energy, eV/atom: -4.19

Cell lengths 4.707, 4.707, 4.707 Å; angles 60.00, 60.00, 60.00 degrees
Positions (direct):
Cu (0.750, 0.750, 0.750)
Pt (0.500, 0.500, 0.500)
Rb (0.250, 0.250, 0.250)
W (0.000, 0.000, 0.000)


Q: What is the ρ in the twelfth record?
A: 11546 kg/m³